Record 1
DFT (GGA-PBE) results for a relaxed structure of PmErGeAu.

Computed properties:
ΔE to the lowest computed polymorph	0.000	eV/atom
crystal system	orthorhombic

The structure in CIF format:
```
data_PmErGeAu
_chemical_formula_sum 'Pm2 Er2 Ge2 Au2'
_space_group_name_H-M_alt 'A m m 2'
_space_group_IT_number 38
_space_group_name_Hall 'A 2 -2'
_cell_length_a 4.3513
_cell_length_b 4.0818
_cell_length_c 11.0773
_cell_angle_alpha 90.00
_cell_angle_beta 90.00
_cell_angle_gamma 90.00
loop_
_atom_site_label
_atom_site_fract_x
_atom_site_fract_y
_atom_site_fract_z
_atom_site_occupancy
Pm1 0.0000 0.0000 0.0000 1
Er1 0.5000 0.0000 0.7220 1
Ge1 0.0000 0.0000 0.2706 1
Au1 0.5000 0.0000 0.4392 1
```

Record 2
DFT (GGA-PBE) results for a relaxed structure of PrEr2Ge2Au2.

Computed properties:
crystal system	trigonal

The structure in CIF format:
```
data_PrEr2Ge2Au2
_chemical_formula_sum 'Pr3 Er6 Ge6 Au6'
_space_group_name_H-M_alt 'R -3 m'
_space_group_IT_number 166
_space_group_name_Hall '-R 3 2"'
_cell_length_a 4.6672
_cell_length_b 4.6672
_cell_length_c 25.5938
_cell_angle_alpha 90.00
_cell_angle_beta 90.00
_cell_angle_gamma 120.00
loop_
_atom_site_label
_atom_site_fract_x
_atom_site_fract_y
_atom_site_fract_z
_atom_site_occupancy
Pr1 0.0000 0.0000 0.0000 1
Er1 0.0000 0.0000 0.1347 1
Ge1 0.0000 0.0000 0.2624 1
Au1 0.0000 0.0000 0.4344 1
```

Record 3
DFT (GGA-PBE) results for a relaxed structure of PrErGeAu.

Computed properties:
crystal system	cubic

The structure in CIF format:
```
data_PrErGeAu
_chemical_formula_sum 'Pr4 Er4 Ge4 Au4'
_space_group_name_H-M_alt 'F -4 3 m'
_space_group_IT_number 216
_space_group_name_Hall 'F -4 2 3'
_cell_length_a 7.3087
_cell_length_b 7.3087
_cell_length_c 7.3087
_cell_angle_alpha 90.00
_cell_angle_beta 90.00
_cell_angle_gamma 90.00
loop_
_atom_site_label
_atom_site_fract_x
_atom_site_fract_y
_atom_site_fract_z
_atom_site_occupancy
Pr1 0.0000 0.0000 0.0000 1
Er1 0.0000 0.0000 0.5000 1
Ge1 0.2500 0.2500 0.7500 1
Au1 0.2500 0.2500 0.2500 1
```

Record 4
DFT (GGA-PBE) results for a relaxed structure of Er2Ge4Pt3Au.

Computed properties:
crystal system	tetragonal

The structure in CIF format:
```
data_Er2Ge4Pt3Au
_chemical_formula_sum 'Er2 Ge4 Pt3 Au1'
_space_group_name_H-M_alt 'P -4 m 2'
_space_group_IT_number 115
_space_group_name_Hall 'P -4 -2'
_cell_length_a 4.2839
_cell_length_b 4.2839
_cell_length_c 10.3678
_cell_angle_alpha 90.00
_cell_angle_beta 90.00
_cell_angle_gamma 90.00
loop_
_atom_site_label
_atom_site_fract_x
_atom_site_fract_y
_atom_site_fract_z
_atom_site_occupancy
Er1 0.0000 0.5000 0.2433 1
Ge1 0.0000 0.0000 0.5000 1
Ge2 0.0000 0.5000 0.8605 1
Ge3 0.5000 0.5000 0.5000 1
Pt1 0.0000 0.0000 0.0000 1
Pt2 0.0000 0.5000 0.6280 1
Au1 0.5000 0.5000 0.0000 1
```

no.,spin magnetization (μB per formula unit),DFT formation energy (meV/atom)
1,0.000,-824
2,0.000,-624
3,0.613,-709
4,0.000,-750